# GGA-PBE VCu2N, relaxed
data_VCu2N
_chemical_formula_sum 'V2 Cu4 N2'
_cell_length_a 6.8881
_cell_length_b 6.8881
_cell_length_c 5.2512
_cell_angle_alpha 49.01
_cell_angle_beta 49.01
_cell_angle_gamma 90.00
_symmetry_space_group_name_H-M 'P 1'
_symmetry_Int_Tables_number 1
_symmetry_space_group_name_Hall 'P 1'
loop_
_atom_site_label
_atom_site_type_symbol
_atom_site_fract_x
_atom_site_fract_y
_atom_site_fract_z
Cu1 Cu 0.3750 0.4713 0.7500
Cu2 Cu 0.2213 0.6250 0.2500
Cu3 Cu 0.5287 0.1250 0.2500
Cu4 Cu 0.8750 0.7787 0.7500
N1 N 0.2500 0.7500 0.5000
N2 N 0.5000 0.5000 0.0000
V1 V 0.0000 0.0000 0.0000
V2 V 0.7500 0.2500 0.5000
# Formation energy (no corrections) in eV/atom: 0.289

# GGA-PBE FeSi2OsBr, relaxed
data_FeSi2OsBr
_chemical_formula_sum 'Fe1 Si2 Os1 Br1'
_cell_length_a 4.2573
_cell_length_b 4.8107
_cell_length_c 4.2573
_cell_angle_alpha 90.00
_cell_angle_beta 90.00
_cell_angle_gamma 90.00
_symmetry_space_group_name_H-M 'P 1'
_symmetry_Int_Tables_number 1
_symmetry_space_group_name_Hall 'P 1'
loop_
_atom_site_label
_atom_site_type_symbol
_atom_site_fract_x
_atom_site_fract_y
_atom_site_fract_z
Br1 Br 0.5000 0.5000 0.5000
Fe1 Fe 0.0000 0.0000 0.0000
Os1 Os 0.0000 0.5000 0.0000
Si1 Si 0.5000 0.0000 0.0000
Si2 Si 0.0000 0.0000 0.5000
# Formation energy (no corrections) in eV/atom: 0.898

# GGA-PBE LiEr2Ir2, relaxed
data_LiEr2Ir2
_chemical_formula_sum 'Li2 Er4 Ir4'
_cell_length_a 5.3086
_cell_length_b 5.6660
_cell_length_c 7.8160
_cell_angle_alpha 105.57
_cell_angle_beta 90.00
_cell_angle_gamma 117.93
_symmetry_space_group_name_H-M 'P 1'
_symmetry_Int_Tables_number 1
_symmetry_space_group_name_Hall 'P 1'
loop_
_atom_site_label
_atom_site_type_symbol
_atom_site_fract_x
_atom_site_fract_y
_atom_site_fract_z
Er1 Er 0.8008 0.2914 0.6495
Er2 Er 0.5094 0.7086 0.8505
Er3 Er 0.4906 0.2914 0.1495
Er4 Er 0.1992 0.7086 0.3505
Li1 Li 0.1445 0.0000 0.7500
Li2 Li 0.8555 0.0000 0.2500
Ir1 Ir 0.0176 0.7330 0.9896
Ir2 Ir 0.7154 0.7330 0.4896
Ir3 Ir 0.9824 0.2670 0.0104
Ir4 Ir 0.2846 0.2670 0.5104
# Distance to the lowest polymorph of the same formula in meV per atom: 40
# E_form in eV per atom: -0.675

# GGA-PBE PuFe2Tc, relaxed
data_PuFe2Tc
_chemical_formula_sum 'Pu1 Fe2 Tc1'
_cell_length_a 4.2169
_cell_length_b 3.8017
_cell_length_c 3.8017
_cell_angle_alpha 90.00
_cell_angle_beta 90.00
_cell_angle_gamma 90.00
_symmetry_space_group_name_H-M 'P 1'
_symmetry_Int_Tables_number 1
_symmetry_space_group_name_Hall 'P 1'
loop_
_atom_site_label
_atom_site_type_symbol
_atom_site_fract_x
_atom_site_fract_y
_atom_site_fract_z
Fe1 Fe 0.0000 0.5000 0.0000
Fe2 Fe 0.0000 0.0000 0.5000
Pu1 Pu 0.5000 0.0000 0.0000
Tc1 Tc 0.5000 0.5000 0.5000
# Distance to the lowest polymorph of the same formula in meV per atom: 0
# E_form in eV per atom: 0.114

# GGA-PBE AlV2Rh2, relaxed
data_AlV2Rh2
_chemical_formula_sum 'Al2 V4 Rh4'
_cell_length_a 7.2826
_cell_length_b 7.2826
_cell_length_c 2.7688
_cell_angle_alpha 90.00
_cell_angle_beta 90.00
_cell_angle_gamma 90.00
_symmetry_space_group_name_H-M 'P 1'
_symmetry_Int_Tables_number 1
_symmetry_space_group_name_Hall 'P 1'
loop_
_atom_site_label
_atom_site_type_symbol
_atom_site_fract_x
_atom_site_fract_y
_atom_site_fract_z
Rh1 Rh 0.6827 0.8173 0.5000
Rh2 Rh 0.3173 0.1827 0.5000
Rh3 Rh 0.8173 0.3173 0.5000
Rh4 Rh 0.1827 0.6827 0.5000
Al1 Al 0.5000 0.5000 0.0000
Al2 Al 0.0000 0.0000 0.0000
V1 V 0.1115 0.3885 0.0000
V2 V 0.3885 0.8885 0.0000
V3 V 0.8885 0.6115 0.0000
V4 V 0.6115 0.1115 0.0000
# Distance to the lowest polymorph of the same formula in meV per atom: 118
# E_form in eV per atom: -0.207

# GGA-PBE ZnAgMo2, relaxed
data_ZnAgMo2
_chemical_formula_sum 'Zn1 Ag1 Mo2'
_cell_length_a 3.2550
_cell_length_b 3.2550
_cell_length_c 6.1429
_cell_angle_alpha 90.00
_cell_angle_beta 90.00
_cell_angle_gamma 90.00
_symmetry_space_group_name_H-M 'P 1'
_symmetry_Int_Tables_number 1
_symmetry_space_group_name_Hall 'P 1'
loop_
_atom_site_label
_atom_site_type_symbol
_atom_site_fract_x
_atom_site_fract_y
_atom_site_fract_z
Mo1 Mo 0.5000 0.5000 0.2362
Mo2 Mo 0.0000 0.0000 0.0359
Zn1 Zn 0.0000 0.0000 0.4980
Ag1 Ag 0.5000 0.5000 0.7298
# E_form in eV per atom: 0.260